# 1
Cd2PPbO, optimized geometry, DFT PBE-GGA; DFT total energy = -13.37 eV per cell; DOS at the Fermi energy = 0.524 states/eV per atom
1.0
4.859 0.000 0.000
0.000 5.888 0.000
0.000 0.000 4.859
O P Cd Pb
1 1 2 1
direct
0.500 0.500 0.500
0.000 0.000 0.000
0.500 0.000 0.000
0.000 0.000 0.500
0.000 0.500 0.000


# 2
CdPPdO2, optimized geometry, DFT PBE-GGA; energy above the lowest structure with this stoichiometry = 545 meV/atom; DFT total energy = -17.98 eV per cell; DOS at the Fermi energy = 0.959 states/eV per atom
1.0
-1.526 1.189 3.508
3.306 -1.275 1.870
2.270 4.899 -0.673
Pd Cd O P
1 1 2 1
direct
0.500 0.500 0.500
0.000 0.000 0.000
0.500 0.000 0.000
0.000 0.500 0.000
0.000 0.000 0.500


# 3
CdPPdO5, optimized geometry, DFT PBE-GGA; DFT total energy = -93.89 eV per cell; DOS at the Fermi energy = 0.656 states/eV per atom
1.0
6.039 -0.260 0.019
-2.012 5.700 0.019
-1.646 -2.224 6.100
Cd O Pd P
2 10 2 2
direct
0.680 0.320 0.750
0.320 0.680 0.250
0.367 0.808 0.614
0.642 0.706 0.904
0.294 0.358 0.596
0.092 0.908 0.250
0.358 0.294 0.096
0.908 0.092 0.750
0.706 0.642 0.404
0.192 0.633 0.886
0.808 0.367 0.114
0.633 0.192 0.386
0.000 0.000 0.500
0.000 0.000 0.000
0.633 0.367 0.250
0.367 0.633 0.750


# 4
CdP2PdO8, optimized geometry, DFT PBE-GGA; DFT total energy = -73.78 eV per cell
1.0
4.692 0.000 0.000
2.346 4.064 0.000
2.346 1.355 7.254
Pd O P Cd
1 8 2 1
direct
0.000 0.000 0.000
0.405 0.728 0.828
0.595 0.272 0.172
0.728 0.039 0.828
0.272 0.961 0.172
0.184 0.184 0.449
0.039 0.405 0.828
0.816 0.816 0.551
0.961 0.595 0.172
0.745 0.745 0.764
0.255 0.255 0.236
0.500 0.500 0.500


Q: What is the DFT total energy in the third record?
A: -93.89 eV per cell